VASP calculation (GGA-PBE) on a relaxed CdFeRh2 crystal.

The energy relative to the elements is 335 meV/atom. The calculation puts the electronic total energy at -45.5 eV per cell. The space group is No. 122.

abc: 7.0169 7.0169 5.6484
angles: 51.60 51.60 90.00
With the nearest neighbours (Å) after each atom.
Fractional positions:
1 Rh 0.5824 0.1250 0.2500  2 Fe 2.38
2 Rh 0.1676 0.6250 0.2500  2 Fe 2.38
3 Rh 0.3750 0.4176 0.7500  2 Fe 2.38
4 Rh 0.8750 0.8324 0.7500  2 Fe 2.38
5 Fe 0.5000 0.5000 0.0000  4 Rh 2.38
6 Fe 0.2500 0.7500 0.5000  4 Rh 2.38
7 Cd 0.0000 0.0000 0.0000  2 Fe 2.70, 4 Rh 2.78
8 Cd 0.7500 0.2500 0.5000  2 Fe 2.70, 4 Rh 2.78